DFT (meta-GGA SCAN) results for a crystal of Ba3TbB9O18 relaxed with PBEsol.

a = 7.210 Å, b = 7.210 Å, c = 16.754 Å
α = 90.00°, β = 90.00°, γ = 120.00°
Sites, in units of the cell vectors:
Ba1 0.000 0.000 0.250
Ba2 0.000 0.000 0.750
Ba3 0.333 0.667 0.130
Ba4 0.333 0.667 0.370
Ba5 0.667 0.333 0.630
Ba6 0.667 0.333 0.870
Tb1 0.000 0.000 0.000
Tb2 0.000 0.000 0.500
B1 0.116 0.621 0.750
B2 0.164 0.449 0.584
B3 0.164 0.449 0.916
B4 0.285 0.836 0.584
B5 0.285 0.836 0.916
B6 0.379 0.495 0.750
B7 0.449 0.285 0.084
B8 0.449 0.285 0.416
B9 0.495 0.116 0.250
B10 0.505 0.884 0.750
B11 0.551 0.715 0.584
B12 0.551 0.715 0.916
B13 0.621 0.505 0.250
B14 0.715 0.164 0.084
B15 0.715 0.164 0.416
B16 0.836 0.551 0.084
B17 0.836 0.551 0.416
B18 0.884 0.379 0.250
O1 0.001 0.248 0.584
O2 0.001 0.248 0.916
O3 0.084 0.415 0.250
O4 0.122 0.620 0.583
O5 0.122 0.620 0.917
O6 0.167 0.457 0.750
O7 0.247 0.999 0.584
O8 0.247 0.999 0.916
O9 0.248 0.247 0.084
O10 0.248 0.247 0.416
O11 0.290 0.833 0.750
O12 0.331 0.916 0.250
O13 0.380 0.502 0.583
O14 0.380 0.502 0.917
O15 0.415 0.331 0.750
O16 0.457 0.290 0.250
O17 0.498 0.878 0.583
O18 0.498 0.878 0.917
O19 0.502 0.122 0.083
O20 0.502 0.122 0.417
O21 0.543 0.710 0.750
O22 0.585 0.669 0.250
O23 0.620 0.498 0.083
O24 0.620 0.498 0.417
O25 0.669 0.084 0.750
O26 0.710 0.167 0.250
O27 0.752 0.753 0.584
O28 0.752 0.753 0.916
O29 0.753 0.001 0.084
O30 0.753 0.001 0.416
O31 0.833 0.543 0.250
O32 0.878 0.380 0.083
O33 0.878 0.380 0.417
O34 0.916 0.585 0.750
O35 0.999 0.752 0.084
O36 0.999 0.752 0.416

Calculated values
- Space group: P6_3/m
- Theoretical density: 4.21 g/cm³
- Uncorrected energy: -14.07 eV per atom
- ΔE_f (raw): -8845 kJ/mol of formula units

DFT (meta-GGA SCAN) results for a crystal of KCuW2 relaxed with PBEsol.

a = 3.219 Å, b = 3.219 Å, c = 8.079 Å
α = 90.00°, β = 90.00°, γ = 90.00°
Sites, in units of the cell vectors:
K1 0.000 0.000 0.000
Cu1 0.000 0.000 0.500
W1 0.500 0.500 0.355
W2 0.500 0.500 0.645

Calculated values
- Space group: P4/mmm
- E_form: 1.34 eV per atom
- Theoretical density: 9.33 g/cm³
- Uncorrected energy: -39.38 eV per atom

DFT (meta-GGA SCAN) results for a crystal of RbScZn3 relaxed with PBEsol.

a = 5.328 Å, b = 5.328 Å, c = 5.328 Å
α = 90.00°, β = 90.00°, γ = 90.00°
Sites, in units of the cell vectors:
Rb1 0.000 0.000 0.000
Sc1 0.500 0.500 0.500
Zn1 0.000 0.000 0.500
Zn2 0.000 0.500 0.000
Zn3 0.500 0.000 0.000

Calculated values
- Space group: Pm-3m
- E_form: 1.28 eV per atom
- Theoretical density: 3.59 g/cm³
- Uncorrected energy: -13.82 eV per atom